Entry 1:
VASP calculation (PBE) on Sc3Pt after structural relaxation.

- symmetry = Pmmn (59)
- calculated volume (Å³/atom) = 20.27
- E_form (eV per atom) = -0.57
- total magnetic moment (μB per atom) = 0.000

Cell and atoms, written as POSCAR:
```
Sc3Pt
1.0
4.5838 0.0000 0.0000
0.0000 6.2215 0.0000
0.0000 0.0000 5.6870
Sc Pt
6 2
Cartesian
1.1459 0.0321 0.9188
1.1459 1.5554 3.4440
1.1459 3.0787 0.9188
3.4378 3.1428 4.7682
3.4378 4.6662 2.2430
3.4378 6.1895 4.7682
1.1459 4.6662 3.9056
3.4378 1.5554 1.7814
```

***

Entry 2:
VASP calculation (PBE) on CuP4Pt after structural relaxation.

- symmetry = F-43m (216)
- calculated volume (Å³/atom) = 15.25
- E_form (eV per atom) = 0.70
- total magnetic moment (μB per atom) = 0.000

Cell and atoms, written as POSCAR:
```
CuP4Pt
1.0
0.0000 3.5766 3.5766
3.5766 0.0000 3.5766
3.5766 3.5766 0.0000
Cu P Pt
1 4 1
Cartesian
0.0000 0.0000 0.0000
4.5336 2.6197 2.6197
2.6197 4.5336 2.6197
2.6197 2.6197 4.5336
4.5336 4.5336 4.5336
1.7883 1.7883 1.7883
```

***

Entry 3:
VASP calculation (PBE) on Tb4Y2ThSc after structural relaxation.

- symmetry = P4/mmm (123)
- calculated volume (Å³/atom) = 31.34
- E_form (eV per atom) = 0.15
- total magnetic moment (μB per atom) = 0.000

Cell and atoms, written as POSCAR:
```
Tb4Y2ThSc
1.0
5.8840 0.0000 0.0000
0.0000 5.8840 0.0000
0.0000 0.0000 7.2408
Tb Y Th Sc
4 2 1 1
Cartesian
0.0000 2.9420 1.7650
0.0000 2.9420 5.4759
2.9420 0.0000 1.7650
2.9420 0.0000 5.4759
0.0000 0.0000 3.6204
2.9420 2.9420 3.6204
0.0000 0.0000 0.0000
2.9420 2.9420 0.0000
```

***

Entry 4:
VASP calculation (PBE) on HgC2 after structural relaxation.

- symmetry = P6_3/mmc (194)
- relative energy among the computed polymorphs (kcal/mol of atoms) = 24.702
- calculated volume (Å³/atom) = 14.36
- E_form (eV per atom) = 1.61
- total magnetic moment (μB per atom) = 0.000

Cell and atoms, written as POSCAR:
```
HgC2
1.0
3.6109 0.0000 0.0000
-1.8054 3.1271 0.0000
0.0000 0.0000 7.6298
Hg C
2 4
Cartesian
0.0000 0.0000 0.0000
0.0000 0.0000 3.8149
0.0000 2.0847 1.2681
0.0000 2.0847 2.5468
1.8054 1.0424 5.0830
1.8054 1.0424 6.3617
```

***

Question: Which formula does entry 2 have?
Answer: CuP4Pt

***

Question: Look up the total magnetic moment of the first one.
Answer: 0.000 μB per atom